Record 1
HfTc2C | GGA-PBE | relaxed

- Calculated formation energy: -59 meV per atom
- Total moment: 0.00 Bohr magnetons per cell
- D(E_F): 3.4 states/eV/cell
- Final energy: -80.29 eV/cell

a b c (Å): 6.9953 6.9953 5.4817
angles (deg): 50.35 50.35 90.00
Positions (direct):
Hf 0.0000 0.0000 0.0000
Hf 0.7500 0.2500 0.5000
Tc 0.3750 0.4881 0.7500
C 0.5000 0.5000 0.0000
C 0.2500 0.7500 0.5000
Tc 0.5119 0.1250 0.2500
Tc 0.2381 0.6250 0.2500
Tc 0.8750 0.7619 0.7500

Record 2
HfTcC | GGA-PBE | relaxed

- Calculated formation energy: -396 meV per atom
- Total moment: 0.00 Bohr magnetons per cell
- D(E_F): 3.1 states/eV/cell
- Final energy: -61.46 eV/cell

a b c (Å): 3.1459 5.1908 5.1908
angles (deg): 97.90 90.00 90.00
Positions (direct):
Tc 0.0000 0.2989 0.2989
C 0.0000 0.0000 0.0000
Hf 0.5000 0.2085 0.7915
C 0.5000 0.5000 0.5000
Tc 0.0000 0.7011 0.7011
Hf 0.5000 0.7915 0.2085

Record 3
HfTcC3 | GGA-PBE | relaxed

- Calculated formation energy: 2495 meV per atom
- Total moment: 0.00 Bohr magnetons per cell
- D(E_F): 7.2 states/eV/cell
- Final energy: -35.51 eV/cell

a b c (Å): 4.1305 4.1305 4.1305
angles (deg): 90.00 90.00 90.00
Positions (direct):
C 0.5000 0.0000 0.0000
Tc 0.5000 0.5000 0.5000
C 0.0000 0.5000 0.0000
Hf 0.0000 0.0000 0.0000
C 0.0000 0.0000 0.5000

> The lowest calculated formation energy belongs to which entry?

HfTcC